## 1
The following is a DFT calculation (PBE-GGA) of an optimized crystal structure of Tb2Pr3Ho6.

Cell: 6.188 6.201 11.596 Å, 84.80 79.53 60.07°
Positions (direct):
1 Pr 0.336 0.329 0.000
2 Pr 0.000 0.000 0.000
3 Ho 0.914 0.667 0.255
4 Ho 0.581 0.333 0.255
5 Pr 0.664 0.671 0.000
6 Ho 0.419 0.667 0.745
7 Ho 0.249 0.000 0.254
8 Tb 0.834 0.332 0.500
9 Tb 0.166 0.668 0.500
10 Ho 0.751 0.000 0.746
11 Ho 0.086 0.333 0.745

Properties
Space-group type: C2/m
V in Å³ per atom: 34.48
Size of the total moment in Bohr magnetons per cell: 0.024

## 2
The following is a DFT calculation (PBE-GGA) of an optimized crystal structure of Tb2Pr3Ho6.

Cell: 4.770 4.770 16.975 Å, 98.08 98.08 90.00°
Positions (direct):
1 Ho 0.380 0.880 0.760
2 Pr 0.795 0.795 0.591
3 Tb 0.546 0.546 0.092
4 Ho 0.691 0.691 0.383
5 Pr 0.205 0.205 0.409
6 Ho 0.620 0.120 0.240
7 Pr 0.000 0.000 0.000
8 Ho 0.880 0.380 0.760
9 Ho 0.309 0.309 0.617
10 Tb 0.454 0.454 0.908
11 Ho 0.120 0.620 0.240

Properties
Space-group type: I4/mmm
V in Å³ per atom: 34.41
Size of the total moment in Bohr magnetons per cell: 0.000

Stability ranking, top entry: 1; the second entry is 65 meV per atom less favorable.

## 1
The following is a DFT calculation (PBE-GGA) of an optimized crystal structure of TbPr7Ho12.

Cell: 8.811 8.811 8.811 Å, 85.97 85.97 85.97°
Positions (direct):
1 Ho 0.865 0.503 0.384
2 Ho 0.384 0.865 0.503
3 Ho 0.252 0.727 0.855
4 Pr 0.399 0.081 0.157
5 Ho 0.748 0.273 0.145
6 Ho 0.503 0.384 0.865
7 Ho 0.273 0.145 0.748
8 Pr 0.843 0.601 0.919
9 Ho 0.616 0.135 0.497
10 Pr 0.157 0.399 0.081
11 Pr 0.081 0.157 0.399
12 Ho 0.135 0.497 0.616
13 Pr 0.500 0.500 0.500
14 Tb 0.000 0.000 0.000
15 Ho 0.727 0.855 0.252
16 Ho 0.497 0.616 0.135
17 Pr 0.601 0.919 0.843
18 Ho 0.145 0.748 0.273
19 Pr 0.919 0.843 0.601
20 Ho 0.855 0.252 0.727

Properties
Space-group type: R-3
V in Å³ per atom: 33.96
Size of the total moment in Bohr magnetons per cell: 0.000

## 2
The following is a DFT calculation (PBE-GGA) of an optimized crystal structure of TbPr7Ho12.

Cell: 9.808 9.808 9.808 Å, 109.47 109.47 109.47°
Positions (direct):
1 Ho 0.000 0.247 0.754
2 Ho 0.507 0.753 0.754
3 Pr 0.500 0.000 0.000
4 Pr 0.000 0.500 0.000
5 Ho 0.753 0.246 0.000
6 Tb 0.000 0.000 0.000
7 Pr 0.500 0.500 0.000
8 Ho 0.493 0.247 0.246
9 Pr 0.500 0.500 0.500
10 Ho 0.754 0.507 0.753
11 Ho 0.753 0.754 0.507
12 Ho 0.246 0.493 0.247
13 Pr 0.000 0.500 0.500
14 Ho 0.000 0.753 0.246
15 Pr 0.500 0.000 0.500
16 Ho 0.247 0.246 0.493
17 Ho 0.247 0.754 0.000
18 Pr 0.000 0.000 0.500
19 Ho 0.754 0.000 0.247
20 Ho 0.246 0.000 0.753

Properties
Space-group type: Im-3m
V in Å³ per atom: 36.32
Size of the total moment in Bohr magnetons per cell: 0.000

Stability ranking, top entry: 1; the second entry is 408 meV per atom less favorable.